(1)
## NbGePS2 (PBE)

Data for a relaxed structure of NbGePS2.

Cell lengths 4.7264, 4.7264, 5.0428 Å; angles 90.00, 90.00, 90.00 degrees
Last column: nearest neighbours and their distance in Å.
Element x y z (fractional)
Nb  0.0000  0.0000  0.0000  4 S 2.36, 2 P 2.52
S  0.5000  0.0000  0.0000  2 Nb 2.36
S  0.0000  0.5000  0.0000  2 Nb 2.36
P  0.0000  0.0000  0.5000  2 Nb 2.52
Ge  0.5000  0.5000  0.5000  4 P 3.34, 8 S 3.46

Calculated values
- Space group: P4/mmm
- Formation energy (no corrections): 108 meV/atom
- ΔE to the lowest computed polymorph: 0 meV/atom
- VASP energy: -5.56 eV/atom
- Magnetization: 0.0 μB/cell



(2)
## Nb2GeSbP (PBE)

Data for a relaxed structure of Nb2GeSbP.

Cell lengths 4.6884, 5.1505, 4.6884 Å; angles 90.00, 90.00, 90.00 degrees
Last column: nearest neighbours and their distance in Å.
Element x y z (fractional)
Ge  0.5000  0.5000  0.5000  4 Sb 3.32, 8 Nb 3.48
Sb  0.0000  0.5000  0.0000  2 P 2.58
Nb  0.5000  0.0000  0.0000  2 P 2.34
Nb  0.0000  0.0000  0.5000  2 P 2.34
P  0.0000  0.0000  0.0000  4 Nb 2.34, 2 Sb 2.58

Calculated values
- Space group: P4/mmm
- Formation energy (no corrections): 651 meV/atom
- VASP energy: -6.21 eV/atom
- Magnetization: 0.0 μB/cell



(3)
## SrNbGeP2 (PBE)

Data for a relaxed structure of SrNbGeP2.

Cell lengths 4.8710, 5.3184, 4.8710 Å; angles 90.00, 90.00, 90.00 degrees
Last column: nearest neighbours and their distance in Å.
Element x y z (fractional)
P  0.0000  0.0000  0.5000  2 Ge 2.44
P  0.5000  0.0000  0.0000  2 Ge 2.44
Sr  0.0000  0.5000  0.0000  2 Ge 2.66
Nb  0.5000  0.5000  0.5000  4 Sr 3.44, 8 P 3.61
Ge  0.0000  0.0000  0.0000  4 P 2.44, 2 Sr 2.66

Calculated values
- Space group: P4/mmm
- Formation energy: 103.4 kJ per mole of atoms
- VASP energy: -4.37 eV/atom
- Magnetization: 3.4 μB/cell



(4)
## Pa2NbGe (PBE)

Data for a relaxed structure of Pa2NbGe.

Cell lengths 5.0197, 5.0197, 5.0197 Å; angles 60.00, 60.00, 60.00 degrees
Last column: nearest neighbours and their distance in Å.
Element x y z (fractional)
Ge  0.0000  0.0000  0.0000  8 Pa 3.07
Nb  0.5000  0.5000  0.5000  8 Pa 3.07
Pa  0.7500  0.7500  0.7500  4 Ge 3.07, 4 Nb 3.07
Pa  0.2500  0.2500  0.2500  4 Ge 3.07, 4 Nb 3.07

Calculated values
- Space group: Fm-3m
- Formation energy: 6.2 kJ per mole of atoms
- ΔE to the lowest computed polymorph: 287 meV/atom
- VASP energy: -8.36 eV/atom
- Magnetization: 0.0 μB/cell



(5)
## PaNb2Ge (PBE)

Data for a relaxed structure of PaNb2Ge.

Cell lengths 3.0159, 3.0159, 10.2132 Å; angles 81.51, 81.51, 60.00 degrees
Last column: nearest neighbours and their distance in Å.
Element x y z (fractional)
Nb  0.9058  0.9058  0.2826  3 Ge 2.80, 1 Pa 2.84, 6 Nb 3.02
Nb  0.0942  0.0942  0.7174  3 Ge 2.80, 1 Pa 2.84, 6 Nb 3.02
Pa  0.0000  0.0000  0.0000  2 Nb 2.84, 6 Pa 3.02
Ge  0.5000  0.5000  0.5000  6 Nb 2.80, 6 Ge 3.02

Calculated values
- Space group: R-3m
- Formation energy: 26.5 kJ per mole of atoms
- ΔE to the lowest computed polymorph: 449 meV/atom
- VASP energy: -8.29 eV/atom
- Magnetization: 0.0 μB/cell



(6)
## Pa3Nb2Ge3 (PBE)

Data for a relaxed structure of Pa3Nb2Ge3.

Cell lengths 5.5550, 8.2808, 8.2808 Å; angles 120.00, 90.00, 90.00 degrees
Last column: nearest neighbours and their distance in Å.
Element x y z (fractional)
Pa  0.2500  0.0000  0.7600  5 Ge 2.92-3.10
Pa  0.7500  0.7600  0.7600  5 Ge 2.92-3.10
Pa  0.2500  0.2400  0.2400  5 Ge 2.92-3.10
Pa  0.2500  0.7600  0.0000  5 Ge 2.92-3.10
Pa  0.7500  0.2400  0.0000  5 Ge 2.92-3.10
Pa  0.7500  0.0000  0.2400  5 Ge 2.92-3.10
Ge  0.7500  0.5946  0.0000  4 Nb 2.87, 5 Pa 2.92-3.10, 2 Ge 3.19
Ge  0.2500  0.5946  0.5946  4 Nb 2.87, 5 Pa 2.92-3.10, 2 Ge 3.19
Ge  0.7500  0.0000  0.5946  4 Nb 2.87, 5 Pa 2.92-3.10, 2 Ge 3.19
Ge  0.2500  0.0000  0.4054  4 Nb 2.87, 5 Pa 2.92-3.10, 2 Ge 3.19
Ge  0.7500  0.4054  0.4054  4 Nb 2.87, 5 Pa 2.92-3.10, 2 Ge 3.19
Ge  0.2500  0.4054  0.0000  4 Nb 2.87, 5 Pa 2.92-3.10, 2 Ge 3.19
Nb  0.0000  0.3333  0.6667  2 Nb 2.78, 6 Ge 2.87
Nb  0.0000  0.6667  0.3333  2 Nb 2.78, 6 Ge 2.87
Nb  0.5000  0.3333  0.6667  2 Nb 2.78, 6 Ge 2.87
Nb  0.5000  0.6667  0.3333  2 Nb 2.78, 6 Ge 2.87

Calculated values
- Space group: P6_3/mcm
- Formation energy: -36.9 kJ per mole of atoms
- VASP energy: -8.19 eV/atom
- Magnetization: 2.4 μB/cell



(7)
## PaNb2Ge (PBE)

Data for a relaxed structure of PaNb2Ge.

Cell lengths 3.7131, 4.5349, 4.5349 Å; angles 90.00, 90.00, 90.00 degrees
Last column: nearest neighbours and their distance in Å.
Element x y z (fractional)
Nb  0.0000  0.5000  0.0000  4 Ge 2.93, 4 Pa 2.93, 4 Nb 3.21
Nb  0.0000  0.0000  0.5000  4 Ge 2.93, 4 Pa 2.93, 4 Nb 3.21
Pa  0.5000  0.0000  0.0000  8 Nb 2.93, 4 Ge 3.21
Ge  0.5000  0.5000  0.5000  8 Nb 2.93, 4 Pa 3.21

Calculated values
- Space group: P4/mmm
- Formation energy: -16.9 kJ per mole of atoms
- ΔE to the lowest computed polymorph: 0 meV/atom
- VASP energy: -8.74 eV/atom
- Magnetization: 0.0 μB/cell



(8)
## Pa4NbGe2 (PBE)

Data for a relaxed structure of Pa4NbGe2.

Cell lengths 4.9742, 4.9742, 8.3150 Å; angles 72.60, 72.60, 60.00 degrees
Last column: nearest neighbours and their distance in Å.
Element x y z (fractional)
Pa  0.6207  0.6207  0.1378  3 Nb 3.07, 4 Pa 3.07-3.25, 3 Ge 3.30
Pa  0.3793  0.3793  0.8622  3 Nb 3.07, 4 Pa 3.07-3.25, 3 Ge 3.30
Pa  0.7594  0.7594  0.7218  4 Ge 2.92-2.93, 4 Pa 3.07-3.25
Pa  0.2406  0.2406  0.2782  4 Ge 2.92-2.93, 4 Pa 3.07-3.25
Nb  0.0000  0.0000  0.0000  2 Ge 2.70
Ge  0.8846  0.8846  0.3462  1 Nb 2.70, 4 Pa 2.92-2.93
Ge  0.1154  0.1154  0.6538  1 Nb 2.70, 4 Pa 2.92-2.93

Calculated values
- Space group: R-3m
- Formation energy: -2.8 kJ per mole of atoms
- VASP energy: -8.21 eV/atom
- Magnetization: 0.0 μB/cell